No. 1
DFT (PBE-GGA) results for a relaxed Pu2Ge4Pd3Rh crystal.

It has space group P-4m2 (No. 115), with a = 4.1639 Å, b = 4.1639 Å, c = 10.8071 Å, α = 90.00°, β = 90.00° and γ = 90.00°. Symmetry generates all atoms from Pu at (0.0000, 0.5000, 0.2481), Ge at (0.0000, 0.0000, 0.5000), Ge at (0.0000, 0.5000, 0.8680), Ge at (0.5000, 0.5000, 0.5000), Pd at (0.0000, 0.0000, 0.0000), Pd at (0.0000, 0.5000, 0.6390) and Rh at (0.5000, 0.5000, 0.0000).

For the formation energy, the calculation gives -0.5914 eV/atom. For the total energy, the calculation gives -7.598 eV/atom.

---

No. 2
DFT (PBE-GGA) results for a relaxed ZnH3Ru crystal.

It has space group Pm-3m (No. 221), with a = 3.4275 Å, b = 3.4275 Å, c = 3.4275 Å, α = 90.00°, β = 90.00° and γ = 90.00°. Symmetry generates all atoms from Zn at (0.0000, 0.0000, 0.0000), H at (0.0000, 0.5000, 0.5000) and Ru at (0.5000, 0.5000, 0.5000).

The value obtained for the distance to the lowest polymorph of the same formula is 84 meV per atom. For the total energy, the calculation gives -3.977 eV/atom.